Below is a geometry-optimized BaUTlO6 structure, with properties calculated at the PBE level.

a b c (Å): 5.740 9.998 5.816
angles (deg): 90.00 90.20 90.00
Space group C2 (No. 5)
Inequivalent atoms, fractional coordinates:
Ba 0.000 0.000 0.000 x2
U 0.000 0.667 0.500 x2
Tl 0.000 0.334 0.500 x2
O 0.131 0.514 0.294 x4
O 0.166 0.809 0.294 x4
O 0.206 0.178 0.293 x4

The value obtained for the uncorrected formation energy is -2.10 eV per atom. Its final energy is -7.135 eV/atom. The total magnetic moment is 2.0 μB per cell.